## NaErF4 (GGA-PBE)

Data for an optimized crystal structure of NaErF4.

Output
Spin magnetization: 0.00 Bohr magnetons per cell
Formation energy from raw total energies: -3717 meV/atom
Volume: 13.288 Å³/atom
Raw total energy: -35.67 eV per cell

CIF file:
```
data_NaErF4
_chemical_formula_sum 'Na1 Er1 F4'
_cell_length_a 3.793
_cell_length_b 3.793
_cell_length_c 5.542
_cell_angle_alpha 90.00
_cell_angle_beta 90.00
_cell_angle_gamma 90.00
_space_group_name_H-M_alt 'P 4/m m m'
_space_group_IT_number 123
_space_group_name_Hall '-P 4 2'
loop_
_atom_site_label
_atom_site_fract_x
_atom_site_fract_y
_atom_site_fract_z
_atom_site_occupancy
Na1 0.000 0.000 0.000 1
Er1 0.500 0.500 0.500 1
F1 0.000 0.500 0.272 1
```